The following is a DFT calculation (GGA+U) of a relaxed structure of CdCoO2.

Symmetry: Fdd2, No. 43
Density: 6.97 Mg/m³
Uncorrected energy: -39.34 eV/cell

abc: 10.7732 4.6845 4.6845
angles: 88.74 129.63 50.37
With the nearest neighbours (Å) after each atom.
Sites, in units of the cell vectors:
Co 0.2543 0.0961 0.1539  4 O 2.05-2.11
Co 0.7543 0.3461 0.4039  4 O 2.05-2.11
O 0.2938 0.0618 0.6606  2 Co 2.05-2.11
O 0.7938 0.8394 0.4382  2 Co 2.05-2.11
O 0.2148 0.7079 0.0698  2 Co 2.05-2.11
O 0.7148 0.4302 0.7921  2 Co 2.05-2.11
Cd 0.2543 0.6097 0.6403  6 O 2.31-2.40
Cd 0.7543 0.8597 0.8903  6 O 2.31-2.40